1.
Below is a relaxed structure of Cr2Tc2Ir, with properties calculated at the PBE-GGA level.

CIF file:
```
data_Cr2Tc2Ir
_chemical_formula_sum 'Cr4 Tc4 Ir2'
_space_group_name_H-M_alt 'P 1'
_space_group_IT_number 1
_space_group_name_Hall 'P 1'
_cell_length_a 6.929
_cell_length_b 6.929
_cell_length_c 2.860
_cell_angle_alpha 90.00
_cell_angle_beta 90.00
_cell_angle_gamma 90.00
loop_
_atom_site_label
_atom_site_fract_x
_atom_site_fract_y
_atom_site_fract_z
Cr1 0.364 0.864 0.000
Cr2 0.864 0.636 0.000
Cr3 0.636 0.136 0.000
Cr4 0.136 0.364 0.000
Ir1 0.000 0.000 0.000
Ir2 0.500 0.500 0.000
Tc1 0.166 0.666 0.500
Tc2 0.666 0.834 0.500
Tc3 0.834 0.334 0.500
Tc4 0.334 0.166 0.500
```

## Properties
Calculated formation energy = 16 kJ/mol of atoms
Total DFT energy (no corrections) = -9.60 eV/atom

---

2.
Below is a relaxed structure of CrTc4Ir, with properties calculated at the PBE-GGA level.

CIF file:
```
data_CrTc4Ir
_chemical_formula_sum 'Cr1 Tc4 Ir1'
_space_group_name_H-M_alt 'P 1'
_space_group_IT_number 1
_space_group_name_Hall 'P 1'
_cell_length_a 5.039
_cell_length_b 5.039
_cell_length_c 5.039
_cell_angle_alpha 60.00
_cell_angle_beta 60.00
_cell_angle_gamma 60.00
loop_
_atom_site_label
_atom_site_fract_x
_atom_site_fract_y
_atom_site_fract_z
Cr1 0.250 0.250 0.250
Tc1 0.625 0.625 0.125
Tc2 0.625 0.125 0.625
Tc3 0.625 0.625 0.625
Tc4 0.125 0.625 0.625
Ir1 0.000 0.000 0.000
```

## Properties
Calculated formation energy = 35 kJ/mol of atoms
Total DFT energy (no corrections) = -9.63 eV/atom

---

3.
Below is a relaxed structure of Cr2TcIr, with properties calculated at the PBE-GGA level.

CIF file:
```
data_Cr2TcIr
_chemical_formula_sum 'Cr2 Tc1 Ir1'
_space_group_name_H-M_alt 'P 1'
_space_group_IT_number 1
_space_group_name_Hall 'P 1'
_cell_length_a 8.576
_cell_length_b 8.576
_cell_length_c 8.576
_cell_angle_alpha 18.15
_cell_angle_beta 18.15
_cell_angle_gamma 18.15
loop_
_atom_site_label
_atom_site_fract_x
_atom_site_fract_y
_atom_site_fract_z
Cr1 0.996 0.996 0.996
Cr2 0.253 0.253 0.253
Ir1 0.505 0.505 0.505
Tc1 0.745 0.745 0.745
```

## Properties
Calculated formation energy = 14 kJ/mol of atoms
Total DFT energy (no corrections) = -9.48 eV/atom

---

4.
Below is a relaxed structure of Cr2TcIr, with properties calculated at the PBE-GGA level.

CIF file:
```
data_Cr2TcIr
_chemical_formula_sum 'Cr2 Tc1 Ir1'
_space_group_name_H-M_alt 'P 1'
_space_group_IT_number 1
_space_group_name_Hall 'P 1'
_cell_length_a 4.263
_cell_length_b 4.263
_cell_length_c 4.263
_cell_angle_alpha 60.00
_cell_angle_beta 60.00
_cell_angle_gamma 60.00
loop_
_atom_site_label
_atom_site_fract_x
_atom_site_fract_y
_atom_site_fract_z
Cr1 0.000 0.000 0.000
Cr2 0.250 0.250 0.250
Ir1 0.500 0.500 0.500
Tc1 0.750 0.750 0.750
```

## Properties
Calculated formation energy = 19 kJ/mol of atoms
Total DFT energy (no corrections) = -9.42 eV/atom

---

5.
Below is a relaxed structure of Cr2TcIr, with properties calculated at the PBE-GGA level.

CIF file:
```
data_Cr2TcIr
_chemical_formula_sum 'Cr2 Tc1 Ir1'
_space_group_name_H-M_alt 'P 1'
_space_group_IT_number 1
_space_group_name_Hall 'P 1'
_cell_length_a 2.676
_cell_length_b 3.716
_cell_length_c 5.338
_cell_angle_alpha 90.00
_cell_angle_beta 90.00
_cell_angle_gamma 90.00
loop_
_atom_site_label
_atom_site_fract_x
_atom_site_fract_y
_atom_site_fract_z
Cr1 0.000 0.000 0.005
Cr2 0.500 0.500 0.242
Ir1 0.000 0.000 0.483
Tc1 0.500 0.500 0.770
```

## Properties
Calculated formation energy = 3 kJ/mol of atoms
Total DFT energy (no corrections) = -9.59 eV/atom

---

6.
Below is a relaxed structure of CrTcIr3, with properties calculated at the PBE-GGA level.

CIF file:
```
data_CrTcIr3
_chemical_formula_sum 'Cr2 Tc2 Ir6'
_space_group_name_H-M_alt 'P 1'
_space_group_IT_number 1
_space_group_name_Hall 'P 1'
_cell_length_a 3.824
_cell_length_b 4.691
_cell_length_c 8.546
_cell_angle_alpha 90.09
_cell_angle_beta 90.00
_cell_angle_gamma 65.95
loop_
_atom_site_label
_atom_site_fract_x
_atom_site_fract_y
_atom_site_fract_z
Cr1 0.550 0.901 0.352
Cr2 0.450 0.099 0.648
Tc1 0.951 0.098 0.153
Tc2 0.049 0.902 0.847
Ir1 0.854 0.291 0.449
Ir2 0.354 0.292 0.943
Ir3 0.752 0.496 0.746
Ir4 0.146 0.709 0.551
Ir5 0.248 0.504 0.254
Ir6 0.646 0.708 0.057
```

## Properties
Calculated formation energy = -14 kJ/mol of atoms
Total DFT energy (no corrections) = -9.46 eV/atom
ΔE to the lowest computed polymorph = 0.0 kJ per mole of atoms

---

7.
Below is a relaxed structure of Cr2TcIr, with properties calculated at the PBE-GGA level.

CIF file:
```
data_Cr2TcIr
_chemical_formula_sum 'Cr2 Tc1 Ir1'
_space_group_name_H-M_alt 'P 1'
_space_group_IT_number 1
_space_group_name_Hall 'P 1'
_cell_length_a 3.795
_cell_length_b 3.795
_cell_length_c 3.678
_cell_angle_alpha 90.00
_cell_angle_beta 90.00
_cell_angle_gamma 90.00
loop_
_atom_site_label
_atom_site_fract_x
_atom_site_fract_y
_atom_site_fract_z
Cr1 0.000 0.000 0.000
Cr2 0.500 0.500 0.000
Ir1 0.500 0.000 0.500
Tc1 0.000 0.500 0.500
```

## Properties
Calculated formation energy = -2 kJ/mol of atoms
Total DFT energy (no corrections) = -9.64 eV/atom

---

8.
Below is a relaxed structure of CrTeIr2, with properties calculated at the PBE-GGA level.

CIF file:
```
data_CrTeIr2
_chemical_formula_sum 'Cr1 Te1 Ir2'
_space_group_name_H-M_alt 'P 1'
_space_group_IT_number 1
_space_group_name_Hall 'P 1'
_cell_length_a 4.806
_cell_length_b 4.806
_cell_length_c 4.839
_cell_angle_alpha 82.01
_cell_angle_beta 82.01
_cell_angle_gamma 36.86
loop_
_atom_site_label
_atom_site_fract_x
_atom_site_fract_y
_atom_site_fract_z
Cr1 0.264 0.264 0.193
Ir1 0.999 0.999 0.030
Ir2 0.742 0.742 0.767
Te1 0.495 0.495 0.510
```

## Properties
Total DFT energy (no corrections) = -7.26 eV/atom
Energy relative to the elements, uncorrected = 1.43 eV per formula unit

---

9.
Below is a relaxed structure of CrTeIr2, with properties calculated at the PBE-GGA level.

CIF file:
```
data_CrTeIr2
_chemical_formula_sum 'Cr1 Te1 Ir2'
_space_group_name_H-M_alt 'P 1'
_space_group_IT_number 1
_space_group_name_Hall 'P 1'
_cell_length_a 4.692
_cell_length_b 4.692
_cell_length_c 3.089
_cell_angle_alpha 90.00
_cell_angle_beta 90.00
_cell_angle_gamma 105.17
loop_
_atom_site_label
_atom_site_fract_x
_atom_site_fract_y
_atom_site_fract_z
Cr1 0.000 0.500 0.500
Ir1 0.000 0.000 0.000
Ir2 0.500 0.500 0.000
Te1 0.500 0.000 0.500
```

## Properties
Total DFT energy (no corrections) = -7.30 eV/atom
Energy relative to the elements, uncorrected = 1.27 eV per formula unit

---

10.
Below is a relaxed structure of CrTeIr2, with properties calculated at the PBE-GGA level.

CIF file:
```
data_CrTeIr2
_chemical_formula_sum 'Cr1 Te1 Ir2'
_space_group_name_H-M_alt 'P 1'
_space_group_IT_number 1
_space_group_name_Hall 'P 1'
_cell_length_a 4.821
_cell_length_b 4.821
_cell_length_c 4.821
_cell_angle_alpha 129.89
_cell_angle_beta 129.89
_cell_angle_gamma 73.59
loop_
_atom_site_label
_atom_site_fract_x
_atom_site_fract_y
_atom_site_fract_z
Cr1 0.750 0.250 0.500
Ir1 0.000 0.000 0.000
Ir2 0.500 0.500 0.000
Te1 0.250 0.750 0.500
```

## Properties
Total DFT energy (no corrections) = -7.36 eV/atom
Energy relative to the elements, uncorrected = 1.07 eV per formula unit

---

11.
Below is a relaxed structure of CrTeIr2, with properties calculated at the PBE-GGA level.

CIF file:
```
data_CrTeIr2
_chemical_formula_sum 'Cr1 Te1 Ir2'
_space_group_name_H-M_alt 'P 1'
_space_group_IT_number 1
_space_group_name_Hall 'P 1'
_cell_length_a 3.883
_cell_length_b 2.930
_cell_length_c 6.065
_cell_angle_alpha 76.19
_cell_angle_beta 90.00
_cell_angle_gamma 90.00
loop_
_atom_site_label
_atom_site_fract_x
_atom_site_fract_y
_atom_site_fract_z
Cr1 0.500 0.670 0.785
Ir1 0.000 0.072 0.982
Ir2 0.500 0.459 0.208
Te1 0.000 0.299 0.525
```

## Properties
Total DFT energy (no corrections) = -7.28 eV/atom
Energy relative to the elements, uncorrected = 1.36 eV per formula unit

---

12.
Below is a relaxed structure of CrTeIr2, with properties calculated at the PBE-GGA level.

CIF file:
```
data_CrTeIr2
_chemical_formula_sum 'Cr1 Te1 Ir2'
_space_group_name_H-M_alt 'P 1'
_space_group_IT_number 1
_space_group_name_Hall 'P 1'
_cell_length_a 3.533
_cell_length_b 3.533
_cell_length_c 5.438
_cell_angle_alpha 90.00
_cell_angle_beta 90.00
_cell_angle_gamma 90.00
loop_
_atom_site_label
_atom_site_fract_x
_atom_site_fract_y
_atom_site_fract_z
Cr1 0.500 0.500 0.797
Ir1 0.000 0.000 0.964
Ir2 0.500 0.500 0.270
Te1 0.000 0.000 0.469
```

## Properties
Total DFT energy (no corrections) = -7.23 eV/atom
Energy relative to the elements, uncorrected = 1.58 eV per formula unit

---

13.
Below is a relaxed structure of CrTeIr, with properties calculated at the PBE-GGA level.

CIF file:
```
data_CrTeIr
_chemical_formula_sum 'Cr2 Te2 Ir2'
_space_group_name_H-M_alt 'P 1'
_space_group_IT_number 1
_space_group_name_Hall 'P 1'
_cell_length_a 2.907
_cell_length_b 4.136
_cell_length_c 9.835
_cell_angle_alpha 90.00
_cell_angle_beta 98.05
_cell_angle_gamma 90.00
loop_
_atom_site_label
_atom_site_fract_x
_atom_site_fract_y
_atom_site_fract_z
Cr1 0.968 0.250 0.932
Cr2 0.032 0.750 0.068
Ir1 0.570 0.250 0.149
Ir2 0.430 0.750 0.851
Te1 0.345 0.250 0.672
Te2 0.655 0.750 0.328
```

## Properties
Total DFT energy (no corrections) = -7.28 eV/atom
Energy relative to the elements, uncorrected = -0.22 eV per formula unit
ΔE to the lowest computed polymorph = 17.5 kJ per mole of atoms

---

14.
Below is a relaxed structure of CrTeIr2, with properties calculated at the PBE-GGA level.

CIF file:
```
data_CrTeIr2
_chemical_formula_sum 'Cr1 Te1 Ir2'
_space_group_name_H-M_alt 'P 1'
_space_group_IT_number 1
_space_group_name_Hall 'P 1'
_cell_length_a 5.434
_cell_length_b 5.434
_cell_length_c 5.434
_cell_angle_alpha 147.97
_cell_angle_beta 129.10
_cell_angle_gamma 61.42
loop_
_atom_site_label
_atom_site_fract_x
_atom_site_fract_y
_atom_site_fract_z
Cr1 0.252 0.752 0.500
Ir1 0.011 0.011 0.000
Ir2 0.736 0.236 0.500
Te1 0.500 0.500 0.000
```

## Properties
Total DFT energy (no corrections) = -7.19 eV/atom
Energy relative to the elements, uncorrected = 1.73 eV per formula unit

---

15.
Below is a relaxed structure of CrTeIr, with properties calculated at the PBE-GGA level.

CIF file:
```
data_CrTeIr
_chemical_formula_sum 'Cr4 Te4 Ir4'
_space_group_name_H-M_alt 'P 1'
_space_group_IT_number 1
_space_group_name_Hall 'P 1'
_cell_length_a 8.707
_cell_length_b 3.755
_cell_length_c 8.297
_cell_angle_alpha 90.00
_cell_angle_beta 98.42
_cell_angle_gamma 90.00
loop_
_atom_site_label
_atom_site_fract_x
_atom_site_fract_y
_atom_site_fract_z
Cr1 0.302 0.000 0.867
Cr2 0.302 0.500 0.367
Cr3 0.138 0.000 0.434
Cr4 0.138 0.500 0.934
Ir1 0.225 0.000 0.148
Ir2 0.225 0.500 0.648
Ir3 0.028 0.000 0.722
Ir4 0.028 0.500 0.222
Te1 0.447 0.000 0.590
Te2 0.447 0.500 0.090
Te3 0.846 0.000 0.330
Te4 0.845 0.500 0.830
```

## Properties
Total DFT energy (no corrections) = -7.21 eV/atom
Energy relative to the elements, uncorrected = -0.02 eV per formula unit
ΔE to the lowest computed polymorph = 24.1 kJ per mole of atoms

---

16.
Below is a relaxed structure of CrTeIr, with properties calculated at the PBE-GGA level.

CIF file:
```
data_CrTeIr
_chemical_formula_sum 'Cr1 Te1 Ir1'
_space_group_name_H-M_alt 'P 1'
_space_group_IT_number 1
_space_group_name_Hall 'P 1'
_cell_length_a 4.451
_cell_length_b 4.451
_cell_length_c 3.143
_cell_angle_alpha 90.00
_cell_angle_beta 90.00
_cell_angle_gamma 120.00
loop_
_atom_site_label
_atom_site_fract_x
_atom_site_fract_y
_atom_site_fract_z
Cr1 0.000 0.000 0.000
Ir1 0.333 0.667 0.500
Te1 0.667 0.333 0.500
```

## Properties
Total DFT energy (no corrections) = -6.87 eV/atom
Energy relative to the elements, uncorrected = 1.01 eV per formula unit
ΔE to the lowest computed polymorph = 57.0 kJ per mole of atoms

---

17.
Below is a relaxed structure of CrTeIr2, with properties calculated at the PBE-GGA level.

CIF file:
```
data_CrTeIr2
_chemical_formula_sum 'Cr1 Te1 Ir2'
_space_group_name_H-M_alt 'P 1'
_space_group_IT_number 1
_space_group_name_Hall 'P 1'
_cell_length_a 4.943
_cell_length_b 4.943
_cell_length_c 4.943
_cell_angle_alpha 132.40
_cell_angle_beta 132.40
_cell_angle_gamma 69.60
loop_
_atom_site_label
_atom_site_fract_x
_atom_site_fract_y
_atom_site_fract_z
Cr1 0.750 0.250 0.500
Ir1 0.000 0.000 0.000
Ir2 0.250 0.750 0.500
Te1 0.500 0.500 0.000
```

## Properties
Total DFT energy (no corrections) = -7.28 eV/atom
Energy relative to the elements, uncorrected = 1.37 eV per formula unit

---

18.
Below is a relaxed structure of CrTeIr2, with properties calculated at the PBE-GGA level.

CIF file:
```
data_CrTeIr2
_chemical_formula_sum 'Cr1 Te1 Ir2'
_space_group_name_H-M_alt 'P 1'
_space_group_IT_number 1
_space_group_name_Hall 'P 1'
_cell_length_a 3.090
_cell_length_b 4.840
_cell_length_c 5.486
_cell_angle_alpha 53.20
_cell_angle_beta 90.00
_cell_angle_gamma 90.00
loop_
_atom_site_label
_atom_site_fract_x
_atom_site_fract_y
_atom_site_fract_z
Cr1 0.000 0.000 0.500
Ir1 0.000 0.000 0.000
Ir2 0.500 0.500 0.000
Te1 0.500 0.500 0.500
```

## Properties
Total DFT energy (no corrections) = -7.29 eV/atom
Energy relative to the elements, uncorrected = 1.32 eV per formula unit

---

19.
Below is a relaxed structure of CrTeIr, with properties calculated at the PBE-GGA level.

CIF file:
```
data_CrTeIr
_chemical_formula_sum 'Cr4 Te4 Ir4'
_space_group_name_H-M_alt 'P 1'
_space_group_IT_number 1
_space_group_name_Hall 'P 1'
_cell_length_a 3.866
_cell_length_b 17.093
_cell_length_c 3.813
_cell_angle_alpha 90.00
_cell_angle_beta 90.00
_cell_angle_gamma 90.00
loop_
_atom_site_label
_atom_site_fract_x
_atom_site_fract_y
_atom_site_fract_z
Cr1 0.000 0.454 0.250
Cr2 0.000 0.546 0.750
Cr3 0.500 0.954 0.250
Cr4 0.500 0.046 0.750
Ir1 0.000 0.051 0.250
Ir2 0.000 0.949 0.750
Ir3 0.500 0.551 0.250
Ir4 0.500 0.449 0.750
Te1 0.000 0.659 0.250
Te2 0.000 0.341 0.750
Te3 0.500 0.159 0.250
Te4 0.500 0.841 0.750
```

## Properties
Total DFT energy (no corrections) = -7.32 eV/atom
Energy relative to the elements, uncorrected = -0.35 eV per formula unit
ΔE to the lowest computed polymorph = 13.5 kJ per mole of atoms

---

20.
Below is a relaxed structure of CrTeIr2, with properties calculated at the PBE-GGA level.

CIF file:
```
data_CrTeIr2
_chemical_formula_sum 'Cr1 Te1 Ir2'
_space_group_name_H-M_alt 'P 1'
_space_group_IT_number 1
_space_group_name_Hall 'P 1'
_cell_length_a 2.979
_cell_length_b 2.979
_cell_length_c 7.405
_cell_angle_alpha 90.00
_cell_angle_beta 90.00
_cell_angle_gamma 90.00
loop_
_atom_site_label
_atom_site_fract_x
_atom_site_fract_y
_atom_site_fract_z
Cr1 0.500 0.500 0.780
Ir1 0.000 0.000 0.981
Ir2 0.500 0.500 0.241
Te1 0.000 0.000 0.497
```

## Properties
Total DFT energy (no corrections) = -7.18 eV/atom
Energy relative to the elements, uncorrected = 1.75 eV per formula unit